Here is crystalline Nd4DyS4 at its relaxed geometry from Alexandria. Energies are from GGA-PBE.

Unit cell a=5.7363 b=6.9353 c=6.9384 alpha=80.15 beta=65.58 gamma=65.57
Positions (direct):
Nd 0.8019 0.7980 0.5983
Nd 0.5999 0.5985 0.2018
Nd 0.4001 0.4015 0.7982
Nd 0.1981 0.2020 0.4017
S 0.7058 0.1972 0.3913
S 0.2942 0.8028 0.6087
S 0.0973 0.6086 0.1969
S 0.9027 0.3914 0.8031
Dy 0.0000 0.0000 0.0000

Output
formation energy (no corrections) = -1.7684 eV/atom
M_tot = 0.00 μB/cell
DFT total energy = -6.233 eV per atom
space-group type = No. 87
volume = 25.427 A^3/atom

Here is crystalline BaCeHgI6 at its relaxed geometry from Alexandria. Energies are from GGA-PBE.

Unit cell a=8.5151 b=8.5149 c=8.4481 alpha=90.00 beta=90.01 gamma=59.99
Positions (direct):
I 0.6167 0.0385 0.2876
I 0.0384 0.6168 0.7125
I 0.6168 0.3447 0.7124
I 0.3447 0.6168 0.2875
I 0.0384 0.3447 0.2876
I 0.3447 0.0385 0.7123
Hg 0.0000 0.0000 0.0000
Ba 0.6666 0.6666 0.5000
Ce 0.3333 0.3334 0.5000

Output
formation energy (no corrections) = -1.2054 eV/atom
M_tot = 0.08 μB/cell
DFT total energy = -3.145 eV per atom
space-group type = No. 149
volume = 58.938 A^3/atom

Here is crystalline Pr7SmHo12 at its relaxed geometry from Alexandria. Energies are from GGA-PBE.

Unit cell a=8.8179 b=8.8179 c=8.8179 alpha=86.02 beta=86.02 gamma=86.02
Positions (direct):
Sm 0.0000 0.0000 0.0000
Pr 0.0785 0.1573 0.3985
Pr 0.5000 0.5000 0.5000
Pr 0.3985 0.0785 0.1573
Pr 0.6015 0.9215 0.8427
Pr 0.1573 0.3985 0.0785
Pr 0.8427 0.6015 0.9215
Pr 0.9215 0.8427 0.6015
Ho 0.4964 0.6181 0.1344
Ho 0.7256 0.8546 0.2545
Ho 0.1344 0.4964 0.6181
Ho 0.7455 0.2744 0.1454
Ho 0.8546 0.2545 0.7256
Ho 0.2744 0.1454 0.7455
Ho 0.8656 0.5036 0.3819
Ho 0.2545 0.7256 0.8546
Ho 0.1454 0.7455 0.2744
Ho 0.3819 0.8656 0.5036
Ho 0.6181 0.1344 0.4964
Ho 0.5036 0.3819 0.8656

Output
polymorph energy (0 for the lowest one) = 0.0 kJ/mol of atoms
M_tot = 0.00 μB/cell
DFT total energy = -4.427 eV per atom
space-group type = No. 148
volume = 34.046 A^3/atom

Here is crystalline Li2UGeS4 at its relaxed geometry from Alexandria. Energies are from GGA-PBE.

Unit cell a=3.8772 b=6.4554 c=6.8148 alpha=70.08 beta=90.00 gamma=90.00
Positions (direct):
S 0.5000 0.2500 0.7504
S 0.0000 0.7440 0.7435
S 0.0000 0.2560 0.2565
S 0.5000 0.7500 0.2496
Li 0.0000 0.0000 0.0000
Li 0.5000 0.0000 0.5000
U 0.0000 0.5000 0.5000
Ge 0.5000 0.5000 0.0000

Output
formation energy (no corrections) = -1.0711 eV/atom
M_tot = 2.00 μB/cell
DFT total energy = -5.602 eV per atom
space-group type = No. 10
volume = 20.045 A^3/atom

Here is crystalline InSiAs at its relaxed geometry from Alexandria. Energies are from GGA-PBE.

Unit cell a=12.6039 b=4.1329 c=6.0084 alpha=90.00 beta=90.00 gamma=90.00
Positions (direct):
As 0.6568 0.0000 0.7046
As 0.3432 0.0000 0.7046
As 0.1568 0.5000 0.2046
As 0.8432 0.5000 0.2046
In 0.3431 0.5000 0.9839
In 0.1569 0.0000 0.4839
In 0.8431 0.0000 0.4839
In 0.6569 0.5000 0.9839
Si 0.0000 0.0000 0.7681
Si 0.5000 0.0000 0.4784
Si 0.5000 0.5000 0.2681
Si 0.0000 0.5000 0.9784

Output
polymorph energy (0 for the lowest one) = 0.0 kJ/mol of atoms
formation energy (no corrections) = -0.0649 eV/atom
M_tot = 0.00 μB/cell
DFT total energy = -4.335 eV per atom
space-group type = No. 44
volume = 26.082 A^3/atom

Here is crystalline Ho3Er at its relaxed geometry from Alexandria. Energies are from GGA-PBE.

Unit cell a=5.6086 b=5.6086 c=5.6086 alpha=60.00 beta=60.00 gamma=60.00
Positions (direct):
Er 0.5000 0.5000 0.5000
Ho 0.7500 0.7500 0.7500
Ho 0.2500 0.2500 0.2500
Ho 0.0000 0.0000 0.0000

Output
polymorph energy (0 for the lowest one) = 13.9 kJ/mol of atoms
M_tot = 0.03 μB/cell
DFT total energy = -4.429 eV per atom
space-group type = No. 225
volume = 31.188 A^3/atom

Here is crystalline CaSiH at its relaxed geometry from Alexandria. Energies are from GGA-PBE.

Unit cell a=4.3568 b=3.9085 c=6.0449 alpha=90.00 beta=109.10 gamma=90.00
Positions (direct):
H 0.2316 0.0000 0.5204
H 0.5388 0.0000 0.9318
Ca 0.1267 0.0000 0.1084
Ca 0.4567 0.5000 0.7190
Si 0.8614 0.0000 0.5235
Si 0.6961 0.5000 0.2729

Output
polymorph energy (0 for the lowest one) = 7.1 kJ/mol of atoms
M_tot = 0.00 μB/cell
DFT total energy = -3.976 eV per atom
space-group type = No. 6
volume = 16.212 A^3/atom

Here is crystalline KLi2ClF2 at its relaxed geometry from Alexandria. Energies are from GGA-PBE.

Unit cell a=5.2765 b=6.1336 c=7.4806 alpha=106.61 beta=90.00 gamma=90.00
Positions (direct):
Cl 0.7500 0.7968 0.0417
Cl 0.2500 0.2032 0.9583
F 0.7500 0.3343 0.3099
F 0.2500 0.0796 0.3530
F 0.2500 0.6657 0.6901
F 0.7500 0.9204 0.6470
Li 0.9948 0.1283 0.2098
Li 0.5052 0.1283 0.2098
Li 0.4948 0.8717 0.7902
Li 0.0052 0.8717 0.7902
K 0.2500 0.6542 0.3412
K 0.7500 0.3458 0.6588

Output
formation energy (no corrections) = -2.4592 eV/atom
M_tot = 0.00 μB/cell
DFT total energy = -4.212 eV per atom
space-group type = No. 11
volume = 19.333 A^3/atom

Here is crystalline SrNi2Au at its relaxed geometry from Alexandria. Energies are from GGA-PBE.

Unit cell a=4.2856 b=4.2856 c=5.7965 alpha=68.37 beta=68.37 gamma=60.02
Positions (direct):
Au 0.3029 0.3029 0.0911
Sr 0.4983 0.4983 0.5063
Ni 0.0110 0.0110 0.9664
Ni 0.6878 0.6878 0.9363

Output
M_tot = 0.44 μB/cell
DFT total energy = -4.332 eV per atom
space-group type = No. 8
volume = 20.861 A^3/atom

Here is crystalline ZnIn2HgPd at its relaxed geometry from Alexandria. Energies are from GGA-PBE.

Unit cell a=5.2003 b=5.2003 c=4.9192 alpha=90.00 beta=90.00 gamma=90.00
Positions (direct):
Pd 0.0000 0.0000 0.0000
Hg 0.5000 0.5000 0.5000
In 0.0000 0.5000 0.0000
In 0.5000 0.0000 0.0000
Zn 0.0000 0.0000 0.5000

Output
M_tot = 0.00 μB/cell
DFT total energy = -2.545 eV per atom
space-group type = No. 123
volume = 26.606 A^3/atom

Here is crystalline LaUCdO6 at its relaxed geometry from Alexandria. Energies are from GGA-PBE.

Unit cell a=4.5403 b=6.0310 c=6.0310 alpha=120.00 beta=90.00 gamma=90.00
Positions (direct):
O 0.2676 0.0060 0.7061
O 0.2676 0.2939 0.2999
O 0.2676 0.7001 0.9940
O 0.7324 0.0060 0.2999
O 0.7324 0.7001 0.7061
O 0.7324 0.2939 0.9940
Cd 0.0000 0.3333 0.6667
U 0.5000 0.0000 0.0000
La 0.5000 0.6667 0.3333

Output
formation energy (no corrections) = -2.3964 eV/atom
M_tot = 0.73 μB/cell
DFT total energy = -7.605 eV per atom
space-group type = No. 149
volume = 15.891 A^3/atom

Here is crystalline Sn2Ge2C at its relaxed geometry from Alexandria. Energies are from GGA-PBE.

Unit cell a=3.5356 b=3.5356 c=8.6794 alpha=78.25 beta=78.25 gamma=90.00
Positions (direct):
Ge 0.7500 0.2500 0.5000
Ge 0.2500 0.7500 0.5000
Sn 0.4141 0.4141 0.1718
Sn 0.5859 0.5859 0.8282
C 0.0000 0.0000 0.0000

Output
polymorph energy (0 for the lowest one) = 11.2 kJ/mol of atoms
M_tot = 0.00 μB/cell
DFT total energy = -4.193 eV per atom
space-group type = No. 139
volume = 20.780 A^3/atom